Entry 1:
{
  "formula": "Pm6Nd2Y3Tl",
  "functional": "PBE",
  "state": "relaxed",
  "m_tot_mub_per_atom": 0.00,
  "space_group": "No. 12",
  "total_energy_ev_per_atom": -5.010,
  "formation_energy_ev_per_atom": -0.03,
  "lattice_angstrom": [[-1.722, -5.894, -1.047], [4.149, 1.295, 4.462], [-9.532, 2.706, 6.627]],
  "species": ["Pm", "Pm", "Pm", "Pm", "Pm", "Pm", "Nd", "Nd", "Y", "Y", "Y", "Tl"],
  "fractional_positions": [[0.917, 0.590, 0.750], [0.757, 0.757, 0.251], [0.083, 0.410, 0.250], [0.590, 0.917, 0.750], [0.243, 0.243, 0.749], [0.410, 0.083, 0.250], [0.334, 0.666, 0.000], [0.666, 0.334, 0.000], [0.167, 0.833, 0.500], [0.833, 0.167, 0.500], [0.500, 0.500, 0.500], [0.000, 0.000, 0.000]]
}

***

Entry 2:
{
  "formula": "Pm3Nd3TlZn2",
  "functional": "PBE",
  "state": "relaxed",
  "m_tot_mub_per_atom": 0.00,
  "space_group": "No. 189",
  "total_energy_ev_per_atom": -3.862,
  "formation_energy_ev_per_atom": -0.14,
  "lattice_angstrom": [[3.857, 0.000, 0.000], [0.000, 8.890, 0.000], [0.000, -4.445, 7.699]],
  "species": ["Pm", "Pm", "Pm", "Nd", "Nd", "Nd", "Tl", "Zn", "Zn"],
  "fractional_positions": [[0.000, 0.618, 0.618], [0.000, 0.000, 0.382], [0.000, 0.382, 0.000], [0.500, 0.703, 0.000], [0.500, 0.000, 0.703], [0.500, 0.297, 0.297], [0.000, 0.000, 0.000], [0.500, 0.667, 0.333], [0.500, 0.333, 0.667]]
}

***

Entry 3:
{
  "formula": "PmNdTm",
  "functional": "PBE",
  "state": "relaxed",
  "m_tot_mub_per_atom": 0.00,
  "space_group": "No. 129",
  "de_polymorph_mev_per_atom": 199.9,
  "total_energy_ev_per_atom": -4.469,
  "formation_energy_ev_per_atom": 0.19,
  "lattice_angstrom": [[-4.863, 0.329, -0.194], [-0.309, -1.927, 4.470], [0.402, 8.013, 3.483]],
  "species": ["Pm", "Pm", "Tm", "Tm", "Nd", "Nd"],
  "fractional_positions": [[0.000, 0.500, 0.700], [0.500, 0.000, 0.300], [0.500, 0.500, 0.000], [0.000, 0.000, 0.000], [0.500, 0.000, 0.698], [0.000, 0.500, 0.302]]
}

***

Entry 4:
{
  "formula": "Pm8Nd3Tm",
  "functional": "PBE",
  "state": "relaxed",
  "m_tot_mub_per_atom": 0.00,
  "space_group": "No. 121",
  "total_energy_ev_per_atom": -4.171,
  "formation_energy_ev_per_atom": 0.56,
  "lattice_angstrom": [[7.680, -0.477, -3.637], [-4.485, 7.130, -1.219], [-0.300, 0.477, 8.492]],
  "species": ["Pm", "Pm", "Pm", "Pm", "Pm", "Pm", "Pm", "Pm", "Nd", "Nd", "Nd", "Tm"],
  "fractional_positions": [[0.493, 0.238, 0.238], [0.507, 0.746, 0.746], [0.000, 0.762, 0.254], [0.000, 0.254, 0.762], [0.248, 0.372, 0.372], [0.752, 0.123, 0.123], [0.000, 0.628, 0.877], [0.000, 0.877, 0.628], [0.500, 0.750, 0.250], [0.500, 0.250, 0.750], [0.000, 0.500, 0.500], [0.000, 0.000, 0.000]]
}

***

Entry 5:
{
  "formula": "PmNd2Tm9",
  "functional": "PBE",
  "state": "relaxed",
  "m_tot_mub_per_atom": 0.00,
  "space_group": "No. 191",
  "de_polymorph_mev_per_atom": 38.7,
  "total_energy_ev_per_atom": -4.477,
  "formation_energy_ev_per_atom": 0.07,
  "lattice_angstrom": [[3.498, 0.000, 0.000], [0.000, 11.174, 0.000], [0.000, -5.587, 9.677]],
  "species": ["Pm", "Nd", "Nd", "Tm", "Tm", "Tm", "Tm", "Tm", "Tm", "Tm", "Tm", "Tm"],
  "fractional_positions": [[0.000, 0.000, 0.000], [0.000, 0.333, 0.667], [0.000, 0.667, 0.333], [0.000, 0.000, 0.500], [0.000, 0.500, 0.500], [0.000, 0.500, 0.000], [0.500, 0.352, 0.176], [0.500, 0.176, 0.824], [0.500, 0.176, 0.352], [0.500, 0.824, 0.648], [0.500, 0.824, 0.176], [0.500, 0.648, 0.824]]
}

***

Entry 6:
{
  "formula": "PmNd6Tm6",
  "functional": "PBE",
  "state": "relaxed",
  "m_tot_mub_per_atom": 0.08,
  "space_group": "No. 191",
  "total_energy_ev_per_atom": -4.381,
  "formation_energy_ev_per_atom": 0.25,
  "lattice_angstrom": [[-4.508, -0.177, 4.981], [4.113, -5.221, -0.995], [7.646, 4.673, 7.086]],
  "species": ["Pm", "Nd", "Nd", "Nd", "Nd", "Nd", "Nd", "Tm", "Tm", "Tm", "Tm", "Tm", "Tm"],
  "fractional_positions": [[0.000, 0.000, 0.000], [0.000, 0.000, 0.656], [0.000, 0.000, 0.344], [0.333, 0.667, 0.000], [0.667, 0.333, 0.000], [0.333, 0.667, 0.500], [0.667, 0.333, 0.500], [0.000, 0.500, 0.754], [0.500, 0.000, 0.754], [0.500, 0.500, 0.754], [0.500, 0.000, 0.246], [0.000, 0.500, 0.246], [0.500, 0.500, 0.246]]
}

***

Entry 7:
{
  "formula": "Pm5NdTm2",
  "functional": "PBE",
  "state": "relaxed",
  "m_tot_mub_per_atom": 0.00,
  "space_group": "No. 55",
  "de_polymorph_mev_per_atom": 0.0,
  "total_energy_ev_per_atom": -4.669,
  "formation_energy_ev_per_atom": 0.01,
  "lattice_angstrom": [[5.098, 0.000, 0.000], [0.000, 7.224, 0.000], [0.000, 0.000, 14.448]],
  "species": ["Pm", "Pm", "Pm", "Pm", "Pm", "Pm", "Pm", "Pm", "Pm", "Pm", "Nd", "Nd", "Tm", "Tm", "Tm", "Tm"],
  "fractional_positions": [[0.000, 0.000, 0.000], [0.000, 0.500, 0.500], [0.000, 0.499, 0.750], [0.000, 0.501, 0.250], [0.000, 0.001, 0.250], [0.000, 0.999, 0.750], [0.500, 0.249, 0.875], [0.500, 0.751, 0.125], [0.500, 0.251, 0.375], [0.500, 0.749, 0.625], [0.000, 0.000, 0.500], [0.000, 0.500, 0.000], [0.500, 0.250, 0.625], [0.500, 0.750, 0.375], [0.500, 0.250, 0.125], [0.500, 0.750, 0.875]]
}

***

Entry 8:
{
  "formula": "Pm5Nd12Tm2",
  "functional": "PBE",
  "state": "relaxed",
  "m_tot_mub_per_atom": 0.00,
  "space_group": "No. 12",
  "de_polymorph_mev_per_atom": 44.4,
  "total_energy_ev_per_atom": -4.566,
  "formation_energy_ev_per_atom": 0.17,
  "lattice_angstrom": [[-5.130, 3.726, 4.008], [-4.033, -8.457, -4.319], [-0.705, -7.897, 6.438]],
  "species": ["Pm", "Pm", "Pm", "Pm", "Pm", "Nd", "Nd", "Nd", "Nd", "Nd", "Nd", "Nd", "Nd", "Nd", "Nd", "Nd", "Nd", "Tm", "Tm"],
  "fractional_positions": [[0.176, 0.352, 0.828], [0.323, 0.646, 0.199], [0.000, 0.000, 0.500], [0.677, 0.354, 0.801], [0.824, 0.648, 0.172], [0.990, 0.981, 0.219], [0.090, 0.681, 0.853], [0.591, 0.681, 0.853], [0.077, 0.668, 0.503], [0.592, 0.668, 0.503], [0.507, 0.014, 0.677], [0.493, 0.986, 0.323], [0.923, 0.332, 0.497], [0.408, 0.332, 0.497], [0.910, 0.319, 0.147], [0.409, 0.319, 0.147], [0.010, 0.019, 0.781], [0.704, 0.000, 0.000], [0.296, 0.000, 0.000]]
}

***

Entry 9:
{
  "formula": "Pm4Nd3Tm2",
  "functional": "PBE",
  "state": "relaxed",
  "m_tot_mub_per_atom": 0.00,
  "space_group": "No. 12",
  "de_polymorph_mev_per_atom": 0.0,
  "total_energy_ev_per_atom": -4.675,
  "formation_energy_ev_per_atom": 0.02,
  "lattice_angstrom": [[-2.509, -3.532, 2.749], [6.890, -4.114, 1.004], [0.532, 6.788, 4.417]],
  "species": ["Pm", "Pm", "Pm", "Pm", "Nd", "Nd", "Nd", "Tm", "Tm"],
  "fractional_positions": [[0.555, 0.331, 0.111], [0.778, 0.670, 0.556], [0.445, 0.669, 0.889], [0.222, 0.330, 0.444], [0.888, 0.332, 0.776], [0.112, 0.668, 0.224], [0.000, 0.000, 0.000], [0.332, 0.000, 0.664], [0.668, 0.000, 0.336]]
}

***

Entry 10:
{
  "formula": "PmNd7Tm4",
  "functional": "PBE",
  "state": "relaxed",
  "m_tot_mub_per_atom": 0.00,
  "space_group": "No. 2",
  "de_polymorph_mev_per_atom": 0.0,
  "total_energy_ev_per_atom": -4.662,
  "formation_energy_ev_per_atom": 0.01,
  "lattice_angstrom": [[-1.941, 6.817, 1.699], [-6.351, 4.583, 5.641], [4.337, -0.713, 7.826]],
  "species": ["Pm", "Nd", "Nd", "Nd", "Nd", "Nd", "Nd", "Nd", "Tm", "Tm", "Tm", "Tm"],
  "fractional_positions": [[0.000, 0.000, 0.000], [0.754, 0.500, 0.002], [0.246, 0.500, 0.998], [0.970, 0.282, 0.663], [0.030, 0.718, 0.337], [0.222, 0.777, 0.665], [0.500, 0.000, 0.000], [0.778, 0.223, 0.335], [0.533, 0.723, 0.334], [0.467, 0.277, 0.666], [0.718, 0.782, 0.664], [0.282, 0.218, 0.336]]
}

***

Entry 11:
{
  "formula": "PmNd6Tm12",
  "functional": "PBE",
  "state": "relaxed",
  "m_tot_mub_per_atom": 0.00,
  "space_group": "No. 166",
  "de_polymorph_mev_per_atom": 0.0,
  "total_energy_ev_per_atom": -4.360,
  "formation_energy_ev_per_atom": 0.22,
  "lattice_angstrom": [[-3.283, 7.894, -1.562], [-4.999, -2.194, 6.762], [7.137, 2.377, 4.352]],
  "species": ["Pm", "Nd", "Nd", "Nd", "Nd", "Nd", "Nd", "Tm", "Tm", "Tm", "Tm", "Tm", "Tm", "Tm", "Tm", "Tm", "Tm", "Tm", "Tm"],
  "fractional_positions": [[0.000, 0.000, 0.000], [0.900, 0.346, 0.900], [0.900, 0.900, 0.346], [0.346, 0.900, 0.900], [0.100, 0.100, 0.654], [0.100, 0.654, 0.100], [0.654, 0.100, 0.100], [0.756, 0.244, 0.500], [0.355, 0.080, 0.355], [0.355, 0.355, 0.080], [0.920, 0.645, 0.645], [0.645, 0.645, 0.920], [0.645, 0.920, 0.645], [0.500, 0.756, 0.244], [0.244, 0.500, 0.756], [0.244, 0.756, 0.500], [0.500, 0.244, 0.756], [0.756, 0.500, 0.244], [0.080, 0.355, 0.355]]
}

***

Entry 12:
{
  "formula": "PmNd5Tm5",
  "functional": "PBE",
  "state": "relaxed",
  "m_tot_mub_per_atom": 0.04,
  "space_group": "No. 12",
  "total_energy_ev_per_atom": -4.372,
  "formation_energy_ev_per_atom": 0.26,
  "lattice_angstrom": [[-2.839, 1.434, 5.048], [-4.883, -7.618, -4.108], [5.499, -2.311, 3.750]],
  "species": ["Pm", "Nd", "Nd", "Nd", "Nd", "Nd", "Tm", "Tm", "Tm", "Tm", "Tm"],
  "fractional_positions": [[0.000, 0.000, 0.000], [0.823, 0.646, 0.067], [0.823, 0.646, 0.579], [0.500, 0.000, 0.000], [0.177, 0.354, 0.421], [0.177, 0.354, 0.933], [0.669, 0.338, 0.170], [0.622, 0.244, 0.623], [0.000, 0.000, 0.500], [0.378, 0.756, 0.377], [0.331, 0.662, 0.830]]
}